A relaxed structure of SmPa2CdO8. Source: Alexandria, functional PBE.

Geometry as CIF:
```
data_SmPa2CdO8
_space_group_name_H-M_alt 'I -4 m 2'
_space_group_IT_number 119
_space_group_name_Hall 'I -4 -2'
_cell_length_a 5.474
_cell_length_b 5.474
_cell_length_c 10.805
_cell_angle_alpha 90.00
_cell_angle_beta 90.00
_cell_angle_gamma 90.00
loop_
_atom_site_label
_atom_site_type_symbol
_atom_site_fract_x
_atom_site_fract_y
_atom_site_fract_z
_atom_site_occupancy
Sm1 Sm 0.000 0.000 0.000 1
Pa1 Pa 0.000 0.000 0.500 1
Pa2 Pa 0.000 0.500 0.750 1
Cd1 Cd 0.000 0.500 0.250 1
O1 O 0.232 0.252 0.624 1
```

## Properties
- Final energy: -8.34 eV per atom
- Total magnetic moment: 0.000 μB/atom
- D(E_F): 0.653 states/eV per atom



A relaxed structure of ZnFe2Cl. Source: Alexandria, functional PBE.

Geometry as CIF:
```
data_ZnFe2Cl
_space_group_name_H-M_alt 'C m m m'
_space_group_IT_number 65
_space_group_name_Hall '-C 2 2'
_cell_length_a 5.337
_cell_length_b 7.920
_cell_length_c 2.795
_cell_angle_alpha 90.00
_cell_angle_beta 90.00
_cell_angle_gamma 90.00
loop_
_atom_site_label
_atom_site_type_symbol
_atom_site_fract_x
_atom_site_fract_y
_atom_site_fract_z
_atom_site_occupancy
Zn1 Zn 0.000 0.000 0.000 1
Fe1 Fe 0.250 0.250 0.500 1
Cl1 Cl 0.000 0.500 0.000 1
```

## Properties
- Energy above the most stable polymorph in this dataset: 391 meV/atom
- Total magnetic moment: 1.527 μB/atom
- D(E_F): 0.898 states/eV per atom



A relaxed structure of Li2BeSb. Source: Alexandria, functional PBE.

Geometry as CIF:
```
data_Li2BeSb
_space_group_name_H-M_alt 'P 4/m m m'
_space_group_IT_number 123
_space_group_name_Hall '-P 4 2'
_cell_length_a 3.843
_cell_length_b 3.843
_cell_length_c 4.247
_cell_angle_alpha 90.00
_cell_angle_beta 90.00
_cell_angle_gamma 90.00
loop_
_atom_site_label
_atom_site_type_symbol
_atom_site_fract_x
_atom_site_fract_y
_atom_site_fract_z
_atom_site_occupancy
Li1 Li 0.000 0.500 0.000 1
Be1 Be 0.000 0.000 0.500 1
Sb1 Sb 0.500 0.500 0.500 1
```

## Properties
- Energy above the most stable polymorph in this dataset: 0 meV/atom
- Total magnetic moment: 0.000 μB/atom
- D(E_F): 0.451 states/eV per atom



Which formula does entry 1 have? SmPa2CdO8



Copy entry 3 word for word.
A relaxed structure of Li2BeSb. Source: Alexandria, functional PBE.

Geometry as CIF:
```
data_Li2BeSb
_space_group_name_H-M_alt 'P 4/m m m'
_space_group_IT_number 123
_space_group_name_Hall '-P 4 2'
_cell_length_a 3.843
_cell_length_b 3.843
_cell_length_c 4.247
_cell_angle_alpha 90.00
_cell_angle_beta 90.00
_cell_angle_gamma 90.00
loop_
_atom_site_label
_atom_site_type_symbol
_atom_site_fract_x
_atom_site_fract_y
_atom_site_fract_z
_atom_site_occupancy
Li1 Li 0.000 0.500 0.000 1
Be1 Be 0.000 0.000 0.500 1
Sb1 Sb 0.500 0.500 0.500 1
```

## Properties
- Energy above the most stable polymorph in this dataset: 0 meV/atom
- Total magnetic moment: 0.000 μB/atom
- D(E_F): 0.451 states/eV per atom



Number 1 is which compound? SmPa2CdO8